Computed, not measured: an optimized crystal structure of PmSc2ZnHg4 at the PBE-GGA level of DFT.

Structure (POSCAR):
```
PmSc2ZnHg4
1.0
4.870 0.000 0.000
2.435 4.218 0.000
2.435 1.406 8.969
Pm Sc Zn Hg
1 2 1 4
Direct
0.000 0.000 0.000 Pm
0.763 0.763 0.712 Sc
0.237 0.237 0.288 Sc
0.500 0.500 0.500 Zn
0.388 0.388 0.837 Hg
0.874 0.874 0.377 Hg
0.126 0.126 0.623 Hg
0.612 0.612 0.163 Hg
```

***

Pm2HgSe, optimized geometry, DFT PBE-GGA; energy above the lowest structure with this stoichiometry = 67 kJ/mol of formula units
1.0
-3.308 -0.782 -1.137
-0.179 -2.685 2.367
-3.070 5.028 5.472
Hg Se Pm
1 1 2
Direct
0.500 0.500 0.500 Hg
0.500 0.500 0.000 Se
0.000 0.000 0.766 Pm
0.000 0.000 0.234 Pm

***

Computed, not measured: an optimized crystal structure of Pm12Hg5Se3 at the PBE-GGA level of DFT.

Structure (POSCAR):
```
Pm12Hg5Se3
1.0
15.307 0.000 0.000
-5.102 14.432 0.000
-5.102 -7.216 12.498
Se Hg Pm
12 20 48
Direct
0.750 0.375 0.125 Se
0.875 0.750 0.125 Se
0.375 0.750 0.625 Se
0.250 0.125 0.375 Se
0.875 0.125 0.250 Se
0.375 0.625 0.250 Se
0.625 0.375 0.750 Se
0.125 0.875 0.750 Se
0.750 0.875 0.625 Se
0.625 0.250 0.375 Se
0.125 0.250 0.875 Se
0.250 0.625 0.875 Se
0.125 0.375 0.250 Hg
0.000 0.500 0.000 Hg
0.000 0.000 0.000 Hg
0.375 0.250 0.125 Hg
0.500 0.000 0.500 Hg
0.500 0.500 0.000 Hg
0.125 0.750 0.375 Hg
0.750 0.125 0.875 Hg
0.750 0.625 0.375 Hg
0.375 0.125 0.750 Hg
0.625 0.875 0.250 Hg
0.500 0.500 0.500 Hg
0.500 0.000 0.000 Hg
0.000 0.000 0.500 Hg
0.250 0.375 0.625 Hg
0.250 0.875 0.125 Hg
0.000 0.500 0.500 Hg
0.875 0.250 0.625 Hg
0.625 0.750 0.875 Hg
0.875 0.625 0.750 Hg
0.727 0.134 0.061 Pm
0.334 0.561 0.426 Pm
0.939 0.366 0.273 Pm
0.561 0.227 0.134 Pm
0.592 0.727 0.666 Pm
0.939 0.574 0.166 Pm
0.334 0.773 0.408 Pm
0.074 0.908 0.134 Pm
0.574 0.939 0.666 Pm
0.727 0.592 0.166 Pm
0.773 0.439 0.366 Pm
0.834 0.926 0.061 Pm
0.134 0.727 0.561 Pm
0.366 0.426 0.092 Pm
0.092 0.926 0.366 Pm
0.408 0.134 0.574 Pm
0.092 0.166 0.227 Pm
0.439 0.666 0.074 Pm
0.834 0.908 0.273 Pm
0.134 0.408 0.074 Pm
0.366 0.939 0.773 Pm
0.574 0.634 0.408 Pm
0.926 0.834 0.561 Pm
0.773 0.334 0.908 Pm
0.426 0.366 0.592 Pm
0.074 0.166 0.439 Pm
0.227 0.666 0.092 Pm
0.166 0.092 0.727 Pm
0.634 0.061 0.227 Pm
0.866 0.592 0.926 Pm
0.561 0.334 0.926 Pm
0.592 0.866 0.426 Pm
0.908 0.834 0.773 Pm
0.908 0.074 0.634 Pm
0.866 0.273 0.439 Pm
0.166 0.074 0.939 Pm
0.634 0.574 0.908 Pm
0.426 0.061 0.334 Pm
0.273 0.408 0.834 Pm
0.227 0.561 0.634 Pm
0.926 0.092 0.866 Pm
0.666 0.227 0.592 Pm
0.439 0.773 0.866 Pm
0.061 0.426 0.834 Pm
0.408 0.273 0.334 Pm
0.061 0.634 0.727 Pm
0.666 0.439 0.574 Pm
0.273 0.866 0.939 Pm
```

***

Computed, not measured: an optimized crystal structure of Pm3HgSe2 at the PBE-GGA level of DFT.

Structure (POSCAR):
```
Pm3HgSe2
1.0
-2.724 2.412 -2.016
-4.366 -4.073 1.028
2.052 3.854 6.129
Pm Hg Se
3 1 2
Direct
0.324 0.324 0.647 Pm
0.000 0.000 0.000 Pm
0.676 0.676 0.353 Pm
0.000 0.500 0.000 Hg
0.664 0.164 0.328 Se
0.336 0.836 0.672 Se
```

***

Computed, not measured: an optimized crystal structure of Pm8HgSe6 at the PBE-GGA level of DFT.

Structure (POSCAR):
```
Pm8HgSe6
1.0
4.201 0.000 0.000
0.000 9.390 -5.422
0.000 0.000 10.843
Pm Hg Se
8 1 6
Direct
0.749 0.965 0.291 Pm
0.749 0.709 0.674 Pm
0.749 0.326 0.035 Pm
0.251 0.035 0.709 Pm
0.251 0.291 0.326 Pm
0.251 0.674 0.965 Pm
0.750 0.333 0.667 Pm
0.250 0.667 0.333 Pm
0.500 0.000 0.000 Hg
0.750 0.649 0.132 Se
0.750 0.868 0.516 Se
0.750 0.484 0.351 Se
0.250 0.351 0.868 Se
0.250 0.132 0.484 Se
0.250 0.516 0.649 Se
```

***

Computed, not measured: an optimized crystal structure of Pm6HgSe4 at the PBE-GGA level of DFT.

Structure (POSCAR):
```
Pm6HgSe4
1.0
-3.883 -1.409 0.605
1.260 -0.342 -7.117
7.577 -19.901 2.298
Pm Hg Se
12 2 8
Direct
0.500 0.000 0.000 Pm
0.500 0.000 0.500 Pm
0.046 0.092 0.336 Pm
0.954 0.908 0.664 Pm
0.954 0.908 0.836 Pm
0.046 0.092 0.164 Pm
0.773 0.546 0.416 Pm
0.227 0.454 0.584 Pm
0.227 0.454 0.916 Pm
0.773 0.546 0.084 Pm
0.331 0.662 0.250 Pm
0.669 0.338 0.750 Pm
0.662 0.323 0.250 Hg
0.338 0.677 0.750 Hg
0.862 0.725 0.541 Se
0.410 0.819 0.124 Se
0.138 0.275 0.459 Se
0.590 0.181 0.876 Se
0.862 0.725 0.959 Se
0.138 0.275 0.041 Se
0.590 0.181 0.624 Se
0.410 0.819 0.376 Se
```

***

no.,volume (Å³/cell),calculated total energy (eV per atom)
1,184.2,-2.801
2,103.3,-4.279
3,2761.0,-3.688
4,165.5,-4.967
5,427.8,-5.299
6,619.5,-5.311